Here is GaNi3Mo after structural relaxation from Alexandria via LeMat-Bulk. Energies are from GGA-PBE.

Summary:
Energy of formation from the pure elements: 0.9688 eV per atom
Mass density: 7.3 g/cm³
E above lowest polymorph: 0.00 eV/f.u.

Unit cell a=4.2622 b=4.2622 c=4.2622 alpha=90.00 beta=90.00 gamma=90.00
Element x y z (fractional)
Ni (0.0000, 0.5000, 0.0000)
Ni (0.0000, 0.0000, 0.5000)
Ni (0.5000, 0.0000, 0.0000)
Mo (0.5000, 0.5000, 0.5000)
Ga (0.0000, 0.0000, 0.0000)